# 1
A plane-wave DFT calculation with PBE-GGA was carried out for a relaxed structure of Pm6Si2Ge.

Results
The raw formation energy comes out at -0.533 eV per atom. The value obtained for the magnetization is 0.1346 μB per atom. The calculation puts the relative energy among the computed polymorphs at 0.013 eV/atom. The total DFT energy (no corrections) is -48.8 eV/f.u. As for the crystal system: hexagonal.

a = 4.294 Å, b = 8.090 Å, c = 8.090 Å
α = 120.00°, β = 90.00°, γ = 90.00°
Fractional positions:
Pm1 0.000 0.267 0.000
Pm2 0.500 0.000 0.589
Pm3 0.500 0.411 0.411
Pm4 0.000 0.733 0.733
Pm5 0.000 0.000 0.267
Pm6 0.500 0.589 0.000
Ge1 0.500 0.000 0.000
Si1 0.000 0.333 0.667
Si2 0.000 0.667 0.333

***

# 2
A plane-wave DFT calculation with PBE-GGA was carried out for a relaxed structure of CsTiSnI6.

Results
The raw formation energy comes out at -0.838 eV per atom. The value obtained for the magnetization is 0.1111 μB per atom. The total DFT energy (no corrections) is -29.6 eV/f.u. As for the crystal system: trigonal.

a = 7.884 Å, b = 7.884 Å, c = 8.496 Å
α = 90.00°, β = 90.00°, γ = 60.00°
Fractional positions:
I1 0.033 0.353 0.305
I2 0.353 0.033 0.695
I3 0.033 0.615 0.695
I4 0.615 0.033 0.305
I5 0.353 0.615 0.305
I6 0.614 0.353 0.695
Sn1 0.667 0.667 0.500
Ti1 0.333 0.333 0.500
Cs1 0.000 0.000 0.000

***

| no. | DOS(E_F) (states/eV/atom) |
| --- | --- |
| 1 | 1.2376 |
| 2 | 0.8061 |